A geometry-optimized CaTcCl2 structure. Source: the Alexandria database, functional PBE-GGA.

Output
ΔE to the lowest computed polymorph, eV per atom: 0.136
E_form (uncorrected), eV per atom: -0.41

extended XYZ file:
```
4
Lattice="4.014 0.000 0.000 0.000 3.777 -0.002 0.000 0.189 5.328" Properties=species:S:1:pos:R:3 pbc="T T T"
Ca 2.007 2.974 3.995
Tc 2.007 0.991 1.332
Cl 0.000 0.239 0.127
Cl 0.000 1.744 2.536
```